(1)
Density functional theory data (PBE) for crystalline K2MgCrSe at its relaxed geometry.

The space group is P4/mmm (No. 123) and the conventional cell measures 6.456, 6.456 and 4.856 Å, with angles of 90.00, 90.00 and 90.00 degrees. Symmetry generates all atoms from K at (0.000, 0.500, 0.000), Mg at (0.000, 0.000, 0.500), Cr at (0.500, 0.500, 0.500) and Se at (0.500, 0.500, 0.000).

The uncorrected formation energy comes out at 9 kJ/mol of formula units.


(2)
Density functional theory data (PBE) for crystalline KMgCr2W at its relaxed geometry.

The space group is P4/mmm (No. 123) and the conventional cell measures 4.280, 4.280 and 4.665 Å, with angles of 90.00, 90.00 and 90.00 degrees. Symmetry generates all atoms from K at (0.000, 0.000, 0.000), Mg at (0.500, 0.500, 0.500), Cr at (0.000, 0.500, 0.000) and W at (0.000, 0.000, 0.500).

The value obtained for the electronic total energy is -3.99 eV/atom.


(3)
Density functional theory data (PBE) for crystalline K2MnCr at its relaxed geometry.

The space group is P2/m (No. 10) and the conventional cell measures 3.455, 5.545 and 7.129 Å, with angles of 90.00, 92.70 and 90.00 degrees. Symmetry generates all atoms from K at (0.003, 0.000, 0.250), Mn at (0.500, 0.500, 0.000) and Cr at (0.500, 0.500, 0.500).

Its polymorph energy (0 for the lowest one) is 0.5337 eV per atom.


(4)
Density functional theory data (PBE) for crystalline KMn2Cr at its relaxed geometry.

The space group is Fm-3m (No. 225) and the conventional cell measures 6.895, 6.895 and 6.895 Å, with angles of 90.00, 90.00 and 90.00 degrees. Symmetry generates all atoms from K at (0.000, 0.000, 0.000), Mn at (0.250, 0.250, 0.250) and Cr at (0.000, 0.000, 0.500).

Its polymorph energy (0 for the lowest one) is 0.4904 eV per atom.


(5)
Density functional theory data (PBE) for crystalline KMn2Cr at its relaxed geometry.

The space group is Imm2 (No. 44) and the conventional cell measures 2.932, 5.360 and 10.407 Å, with angles of 90.00, 90.00 and 90.00 degrees. Symmetry generates all atoms from K at (0.000, 0.000, 0.000), Mn at (0.000, 0.000, 0.524), Mn at (0.000, 0.500, 0.795) and Cr at (0.000, 0.500, 0.214).

Its polymorph energy (0 for the lowest one) is 0.4111 eV per atom.


(6)
Density functional theory data (PBE) for crystalline K2MnCr at its relaxed geometry.

The space group is Cmmm (No. 65) and the conventional cell measures 7.168, 11.273 and 3.359 Å, with angles of 90.00, 90.00 and 90.00 degrees. Symmetry generates all atoms from K at (0.250, 0.250, 0.000), Mn at (0.000, 0.000, 0.500) and Cr at (0.000, 0.500, 0.500).

Its polymorph energy (0 for the lowest one) is 0.5353 eV per atom.


Number 1: total magnetic moment 4.05 μB per cell, DOS at the Fermi energy 2.376 states/eV per cell. Number 2: total magnetic moment 0.00 μB per cell, DOS at the Fermi energy 8.412 states/eV per cell. Number 3: total magnetic moment 9.42 μB per cell, DOS at the Fermi energy 3.637 states/eV per cell. Number 4: total magnetic moment 14.15 μB per cell, DOS at the Fermi energy 13.044 states/eV per cell. Number 5: total magnetic moment 6.84 μB per cell, DOS at the Fermi energy 8.352 states/eV per cell. Number 6: total magnetic moment 18.85 μB per cell, DOS at the Fermi energy 8.217 states/eV per cell.